First-principles (PBE) data for a geometry-optimized CrAg2As structure, as listed in Alexandria.

CIF file:
```
data_CrAg2As
_chemical_formula_sum 'Cr4 Ag8 As4'
_cell_length_a 7.495
_cell_length_b 7.495
_cell_length_c 5.103
_cell_angle_alpha 90.00
_cell_angle_beta 90.00
_cell_angle_gamma 90.00
_space_group_name_H-M_alt 'I -4 2 d'
_space_group_IT_number 122
_space_group_name_Hall 'I -4 2bw'
loop_
_atom_site_label
_atom_site_type_symbol
_atom_site_fract_x
_atom_site_fract_y
_atom_site_fract_z
_atom_site_occupancy
Cr1 Cr 0.000 0.000 0.000 1
Ag1 Ag 0.237 0.250 0.625 1
As1 As 0.000 0.000 0.500 1
```

Summary:
DFT total energy: -4.287 eV/atom
M_tot: 0.071 μB per atom
DOS at the Fermi energy: 6.0 states/eV/f.u.

First-principles (PBE) data for a geometry-optimized CrAgAs2 structure, as listed in Alexandria.

CIF file:
```
data_CrAgAs2
_chemical_formula_sum 'Cr2 Ag2 As4'
_cell_length_a 2.845
_cell_length_b 3.903
_cell_length_c 12.858
_cell_angle_alpha 90.00
_cell_angle_beta 90.00
_cell_angle_gamma 90.00
_space_group_name_H-M_alt 'I m m 2'
_space_group_IT_number 44
loop_
_space_group_symop_operation_xyz
'x,y,z'
'-x,-y,z'
'-x,y,z'
'x,-y,z'
'x+1/2,y+1/2,z+1/2'
'-x+1/2,-y+1/2,z+1/2'
'-x+1/2,y+1/2,z+1/2'
'x+1/2,-y+1/2,z+1/2'
loop_
_atom_site_label
_atom_site_type_symbol
_atom_site_fract_x
_atom_site_fract_y
_atom_site_fract_z
_atom_site_occupancy
Cr1 Cr 0.000 0.000 0.000 1
Ag1 Ag 0.000 0.500 0.285 1
As1 As 0.000 0.000 0.446 1
As2 As 0.000 0.500 0.663 1
```

Summary:
DFT total energy: -5.339 eV/atom
energy above the lowest structure with this stoichiometry: 48 meV per atom
M_tot: 0.477 μB per atom
DOS at the Fermi energy: 1.3 states/eV/f.u.

First-principles (PBE) data for a geometry-optimized CrAgAs2 structure, as listed in Alexandria.

CIF file:
```
data_CrAgAs2
_chemical_formula_sum 'Cr4 Ag4 As8'
_cell_length_a 6.569
_cell_length_b 6.569
_cell_length_c 6.569
_cell_angle_alpha 90.00
_cell_angle_beta 90.00
_cell_angle_gamma 90.00
_space_group_name_H-M_alt 'F m -3 m'
_space_group_IT_number 225
_space_group_name_Hall '-F 4 2 3'
loop_
_atom_site_label
_atom_site_type_symbol
_atom_site_fract_x
_atom_site_fract_y
_atom_site_fract_z
_atom_site_occupancy
Cr1 Cr 0.000 0.000 0.000 1
Ag1 Ag 0.000 0.000 0.500 1
As1 As 0.250 0.250 0.250 1
```

Summary:
DFT total energy: -5.182 eV/atom
energy above the lowest structure with this stoichiometry: 206 meV per atom
M_tot: 0.870 μB per atom
DOS at the Fermi energy: 2.6 states/eV/f.u.